The following is a GGA-PBE calculation of a geometry-optimized Th12CdIn3 structure, from Alexandria.

Cell: 4.947 4.947 19.834 Å, 90.00 90.00 90.00°
Sites, in units of the cell vectors:
1 Th 0.500 0.500 0.751
2 Th 0.500 0.000 0.625
3 Th 0.500 0.000 0.875
4 Th 0.500 0.000 0.125
5 In 0.000 0.000 0.500
6 Th 0.000 0.500 0.875
7 Th 0.500 0.000 0.375
8 Cd 0.000 0.000 0.000
9 In 0.000 0.000 0.250
10 Th 0.000 0.500 0.625
11 Th 0.000 0.500 0.375
12 Th 0.500 0.500 0.500
13 Th 0.000 0.500 0.125
14 Th 0.500 0.500 0.249
15 In 0.000 0.000 0.750
16 Th 0.500 0.500 0.000

Output
Formation energy, eV/atom: -0.118
DOS at the Fermi energy, states/eV per cell: 21.057